# 1
Material: SmY2US8
Method: DFT, GGA-PBE
State: relaxed Values from VASP.

Values from the calculation:
space-group type = P2/m (10)
E_form (uncorrected) = -1.494 eV per atom

The structure in Quantum ESPRESSO input format:
```
&SYSTEM
  ibrav = 0, nat = 12, ntyp = 4
/
ATOMIC_SPECIES
Sm 150.36 Sm.upf
Y 88.91 Y.upf
U 238.03 U.upf
S 32.06 S.upf
ATOMIC_POSITIONS crystal
Sm 0.000 0.000 0.000
Y 0.500 0.254 0.500
Y 0.500 0.746 0.500
U 0.000 0.500 0.000
S 0.211 0.000 0.397
S 0.245 0.500 0.332
S 0.248 0.268 0.860
S 0.248 0.732 0.860
S 0.752 0.268 0.140
S 0.752 0.732 0.140
S 0.755 0.500 0.668
S 0.789 0.000 0.603
CELL_PARAMETERS angstrom
5.892 0.000 0.000
0.000 8.167 0.000
-0.023 0.000 6.461
```

# 2
Material: NaAg9Bi2
Method: DFT, GGA-PBE
State: relaxed Values from VASP.

Values from the calculation:
space-group type = R-3m (166)
uncorrected energy = -34.4 eV for the cell shown

The structure in Quantum ESPRESSO input format:
```
&SYSTEM
  ibrav = 0, nat = 12, ntyp = 3
/
ATOMIC_SPECIES
Na 22.99 Na.upf
Ag 107.87 Ag.upf
Bi 208.98 Bi.upf
ATOMIC_POSITIONS crystal
Na 0.000 0.000 0.000
Ag 0.081 0.586 0.586
Ag 0.334 0.334 0.334
Ag 0.414 0.414 0.919
Ag 0.414 0.919 0.414
Ag 0.500 0.500 0.500
Ag 0.586 0.081 0.586
Ag 0.586 0.586 0.081
Ag 0.666 0.666 0.666
Ag 0.919 0.414 0.414
Bi 0.141 0.141 0.141
Bi 0.859 0.859 0.859
CELL_PARAMETERS angstrom
2.860 1.651 9.182
-2.860 1.651 9.182
0.000 -3.302 9.182
```

# 3
Material: KCuP2
Method: DFT, GGA-PBE
State: relaxed Values from VASP.

Values from the calculation:
offset from the most stable computed form = 835 meV/atom
space-group type = F-43m (216)

The structure in Quantum ESPRESSO input format:
```
&SYSTEM
  ibrav = 0, nat = 4, ntyp = 3
/
ATOMIC_SPECIES
K 39.10 K.upf
Cu 63.55 Cu.upf
P 30.97 P.upf
ATOMIC_POSITIONS crystal
K 0.000 0.000 0.000
Cu 0.750 0.750 0.750
P 0.250 0.250 0.250
P 0.500 0.500 0.500
CELL_PARAMETERS angstrom
0.000 3.361 3.361
3.361 0.000 3.361
3.361 3.361 0.000
```

# 4
Material: Ca4ZnAgHg2
Method: DFT, GGA-PBE
State: relaxed Values from VASP.

Values from the calculation:
space-group type = R-3m (166)
uncorrected energy = -16.0 eV for the cell shown

The structure in Quantum ESPRESSO input format:
```
&SYSTEM
  ibrav = 0, nat = 8, ntyp = 4
/
ATOMIC_SPECIES
Ca 40.08 Ca.upf
Zn 65.41 Zn.upf
Ag 107.87 Ag.upf
Hg 200.59 Hg.upf
ATOMIC_POSITIONS crystal
Ca 0.124 0.124 0.124
Ca 0.375 0.375 0.375
Ca 0.625 0.625 0.625
Ca 0.876 0.876 0.876
Zn 0.000 0.000 0.000
Ag 0.500 0.500 0.500
Hg 0.251 0.251 0.251
Hg 0.749 0.749 0.749
CELL_PARAMETERS angstrom
2.652 1.531 8.637
-2.652 1.531 8.637
0.000 -3.063 8.637
```

# 5
Material: TiBeSiH2
Method: DFT, GGA-PBE
State: relaxed Values from VASP.

Values from the calculation:
space-group type = P4/mmm (123)
uncorrected energy = -21.7 eV for the cell shown

The structure in Quantum ESPRESSO input format:
```
&SYSTEM
  ibrav = 0, nat = 5, ntyp = 4
/
ATOMIC_SPECIES
Ti 47.87 Ti.upf
Be 9.01 Be.upf
Si 28.09 Si.upf
H 1.01 H.upf
ATOMIC_POSITIONS crystal
Ti 0.000 0.000 0.000
Be 0.000 0.000 0.500
Si 0.500 0.500 0.500
H 0.000 0.500 0.000
H 0.500 0.000 0.000
CELL_PARAMETERS angstrom
3.416 0.000 0.000
0.000 3.416 0.000
0.000 0.000 4.835
```

# 6
Material: LaAl2Os
Method: DFT, GGA-PBE
State: relaxed Values from VASP.

Values from the calculation:
space-group type = Fm-3m (225)
uncorrected energy = -24.1 eV for the cell shown

The structure in Quantum ESPRESSO input format:
```
&SYSTEM
  ibrav = 0, nat = 4, ntyp = 3
/
ATOMIC_SPECIES
La 138.91 La.upf
Al 26.98 Al.upf
Os 190.23 Os.upf
ATOMIC_POSITIONS crystal
La 0.000 0.000 0.000
Al 0.250 0.250 0.250
Al 0.750 0.750 0.750
Os 0.500 0.500 0.500
CELL_PARAMETERS angstrom
0.000 3.349 3.349
3.349 0.000 3.349
3.349 3.349 0.000
```

# 7
Material: LaNi2Ir
Method: DFT, GGA-PBE
State: relaxed Values from VASP.

Values from the calculation:
space-group type = I4/mmm (139)
uncorrected energy = -25.6 eV for the cell shown

The structure in Quantum ESPRESSO input format:
```
&SYSTEM
  ibrav = 0, nat = 4, ntyp = 3
/
ATOMIC_SPECIES
La 138.91 La.upf
Ni 58.69 Ni.upf
Ir 192.22 Ir.upf
ATOMIC_POSITIONS crystal
La 0.000 0.000 0.000
Ni 0.250 0.750 0.500
Ni 0.750 0.250 0.500
Ir 0.500 0.500 0.000
CELL_PARAMETERS angstrom
-2.100 2.100 3.726
2.100 -2.100 3.726
2.100 2.100 -3.726
```

# 8
Material: Dy8Te4P3Au
Method: DFT, GGA-PBE
State: relaxed Values from VASP.

Values from the calculation:
space-group type = R-3m (166)
E_form (uncorrected) = -1.401 eV per atom

The structure in Quantum ESPRESSO input format:
```
&SYSTEM
  ibrav = 0, nat = 16, ntyp = 4
/
ATOMIC_SPECIES
Dy 162.50 Dy.upf
Te 127.60 Te.upf
P 30.97 P.upf
Au 196.97 Au.upf
ATOMIC_POSITIONS crystal
Dy 0.231 0.743 0.743
Dy 0.236 0.236 0.236
Dy 0.257 0.257 0.769
Dy 0.257 0.769 0.257
Dy 0.743 0.231 0.743
Dy 0.743 0.743 0.231
Dy 0.764 0.764 0.764
Dy 0.769 0.257 0.257
Te 0.000 0.000 0.000
Te 0.000 0.500 0.500
Te 0.500 0.000 0.500
Te 0.500 0.500 0.000
P 0.000 0.000 0.500
P 0.000 0.500 0.000
P 0.500 0.000 0.000
Au 0.500 0.500 0.500
CELL_PARAMETERS angstrom
4.173 2.409 6.997
-4.173 2.409 6.997
0.000 -4.819 6.997
```